# K2Ho2SnO6

A relaxed structure of K2Ho2SnO6 (PBE-GGA, Alexandria via LeMat-Bulk).

Computed properties:
energy relative to the elements, uncorrected	-2.482	eV per atom

Cell: 5.860 10.091 6.649 Å, 90.00 106.24 90.00°
Space group C2/m (No. 12)
Inequivalent atoms, fractional coordinates:
K1 0.000 0.165 0.000 (multiplicity 4)
Ho1 0.000 0.335 0.500 (multiplicity 4)
Sn1 0.000 0.000 0.500 (multiplicity 2)
O1 0.211 0.161 0.673 (multiplicity 8)
O2 0.248 0.500 0.673 (multiplicity 4)

---

# YNi2Au

A relaxed structure of YNi2Au (PBE-GGA, Alexandria via LeMat-Bulk).

Computed properties:
formation enthalpy at 0 K	-223.3	meV/atom

Cell: 3.379 3.515 5.692 Å, 90.00 90.00 90.00°
Space group Pmm2 (No. 25)
Inequivalent atoms, fractional coordinates:
Y1 0.000 0.000 0.000 (multiplicity 1)
Ni1 0.000 0.000 0.536 (multiplicity 1)
Ni2 0.500 0.500 0.743 (multiplicity 1)
Au1 0.500 0.500 0.300 (multiplicity 1)

---

# KNd3

A relaxed structure of KNd3 (PBE-GGA, Alexandria via LeMat-Bulk).

Computed properties:
formation enthalpy at 0 K	446.4	meV/atom

Cell: 5.311 5.311 10.969 Å, 90.00 90.00 90.00°
Space group I4/mmm (No. 139)
Inequivalent atoms, fractional coordinates:
K1 0.000 0.000 0.000 (multiplicity 2)
Nd1 0.000 0.000 0.500 (multiplicity 2)
Nd2 0.000 0.500 0.250 (multiplicity 4)

---

# CeHoTm2Se4

A relaxed structure of CeHoTm2Se4 (PBE-GGA, Alexandria via LeMat-Bulk).

Computed properties:
energy relative to the elements, uncorrected	-1.721	eV per atom

Cell: 7.041 4.028 7.117 Å, 90.00 108.87 90.00°
Space group P2/m (No. 10)
Inequivalent atoms, fractional coordinates:
Ce1 0.000 0.000 0.000 (multiplicity 1)
Ho1 0.500 0.500 0.000 (multiplicity 1)
Tm1 0.000 0.500 0.500 (multiplicity 1)
Tm2 0.500 0.000 0.500 (multiplicity 1)
Se1 0.253 0.000 0.742 (multiplicity 2)
Se2 0.260 0.500 0.263 (multiplicity 2)

---

# ErSbP

A relaxed structure of ErSbP (PBE-GGA, Alexandria via LeMat-Bulk).

Computed properties:
energy relative to the elements, uncorrected	-0.705	eV per atom

Cell: 4.6910 4.6910 25.6709 Å, 90.00 90.00 120.00°
Space group R-3m (No. 166, hexagonal axes)
Inequivalent atoms, fractional coordinates:
Er1 0.0000 0.0000 0.2207 (multiplicity 6)
Sb1 0.0000 0.0000 0.3616 (multiplicity 6)
P1 0.0000 0.0000 0.1138 (multiplicity 6)

---

For each record above, in turn, the calculated total magnetization values are 0.0 0.4 0.0 1.0 0.0 μB per cell.